[1]
Below is crystalline Mg2CoCl at its relaxed geometry, with properties calculated at the PBE-GGA level.

a = 6.089 Å, b = 6.089 Å, c = 6.089 Å
α = 144.42°, β = 144.42°, γ = 51.19°
Atoms (fractional coordinates):
1 Cl 0.500 0.500 0.000
2 Mg 0.250 0.750 0.500
3 Mg 0.000 0.000 0.000
4 Co 0.750 0.250 0.500

As for the calculated density: 3.12 g/cm3. Its space-group type is I-4m2 (119). The calculation puts the formation energy from raw total energies at 0.0782 eV per atom. For the relative energy among the computed polymorphs, the calculation gives 0.446 eV/atom. The density of states at the Fermi level comes out at 4.50 states/eV/cell. As for the total energy: -0.2174 Ry/atom.

=====

[2]
Below is crystalline NbGa2RuRh at its relaxed geometry, with properties calculated at the PBE-GGA level.

a = 4.557 Å, b = 4.705 Å, c = 4.557 Å
α = 90.00°, β = 90.00°, γ = 90.00°
Atoms (fractional coordinates):
1 Nb 0.500 0.500 0.500
2 Ga 0.000 0.000 0.500
3 Rh 0.000 0.000 0.000
4 Ga 0.500 0.000 0.000
5 Ru 0.000 0.500 0.000

As for the calculated density: 7.42 g/cm3. Its space-group type is P4/mmm (123). The density of states at the Fermi level comes out at 5.69 states/eV/cell. As for the total energy: -0.4179 Ry/atom. The calculation puts the calculated formation energy at 0.86 eV per atom.